Crystalline RbMnI2O8 at its relaxed geometry, computed with PBE+U. Values from VASP.

Computed properties:
**DFT total energy**: -4.903 eV per atom
**DOS(E_F)**: 5.52 states/eV/cell

```
&SYSTEM
  ibrav = 0, nat = 12, ntyp = 4
/
ATOMIC_SPECIES
Rb 85.47 Rb.upf
Mn 54.94 Mn.upf
I 126.90 I.upf
O 16.00 O.upf
CELL_PARAMETERS angstrom
2.744 1.584 7.776
-2.744 1.584 7.776
0.000 -3.168 7.776
ATOMIC_POSITIONS angstrom
Rb 0.000 0.000 0.000
Mn 0.000 0.000 11.664
I 0.000 0.000 5.057
I 0.000 0.000 18.270
O -0.757 -1.379 10.546
O -1.573 -0.034 12.782
O 0.000 0.000 6.846
O -0.816 1.346 10.546
O 0.816 -1.346 12.782
O 0.000 0.000 16.482
O 1.573 0.034 10.546
O 0.757 1.379 12.782
```